Entry 1:
Ti2Re2Sb | Alexandria via LeMat-Bulk | PBEsol | optimized geometry; formation energy (no corrections) = 4.33 kcal/mol of atoms
1.0
-1.761 1.761 7.357
1.761 -1.761 7.357
1.761 1.761 -7.357
Ti Re Sb
2 2 1
Cartesian
0.000 0.000 1.546
0.000 0.000 13.168
1.761 0.000 3.679
0.000 1.761 3.679
0.000 0.000 7.357

Entry 2:
KFeRe2 | Alexandria via LeMat-Bulk | PBEsol | optimized geometry; energy above the lowest structure with this stoichiometry = 49 meV/atom; energy of formation = 0.936 eV per atom
1.0
2.597 0.000 0.000
0.000 3.424 0.000
0.000 0.000 8.374
K Fe Re
1 1 2
Cartesian
0.000 0.000 0.000
0.000 0.000 4.187
1.298 1.712 2.904
1.298 1.712 5.470

How do the records compare in magnetization? In the order shown, they have 0.01 0.45 μB/f.u..